Density functional theory data (PBE-GGA) for a relaxed LiLaAs2 crystal.

Cell: 3.370 3.370 7.770 Å, 90.00 90.00 90.00°
Sites, in units of the cell vectors:
As1 0.000 0.000 0.524
As2 0.000 0.000 0.976
La1 0.500 0.500 0.250
Li1 0.500 0.500 0.750

Computed properties:
energy of formation = -0.6402 eV/atom
distance to the lowest polymorph of the same formula = 0.402 eV per atom


Density functional theory data (PBE-GGA) for a relaxed LiLaAs crystal.

Cell: 4.830 4.830 4.830 Å, 60.00 60.00 60.00°
Sites, in units of the cell vectors:
Li1 0.500 0.500 0.500
La1 0.000 0.000 0.000
As1 0.750 0.750 0.750

Computed properties:
energy of formation = -0.8834 eV/atom
distance to the lowest polymorph of the same formula = 0.171 eV per atom


Density functional theory data (PBE-GGA) for a relaxed Li2LaAs crystal.

Cell: 4.950 4.362 4.374 Å, 86.57 90.00 90.00°
Sites, in units of the cell vectors:
Li1 0.000 0.065 0.062
Li2 0.000 0.435 0.438
La1 0.500 0.750 0.750
As1 0.500 0.250 0.250

Computed properties:
energy of formation = -0.6065 eV/atom


Density functional theory data (PBE-GGA) for a relaxed LiLaAs4 crystal.

Cell: 5.714 5.714 5.714 Å, 60.00 60.00 60.00°
Sites, in units of the cell vectors:
As1 0.373 0.882 0.373
As2 0.373 0.373 0.882
As3 0.882 0.373 0.373
As4 0.373 0.373 0.373
La1 0.750 0.750 0.750
Li1 0.000 0.000 0.000

Computed properties:
energy of formation = -0.3734 eV/atom


Density functional theory data (PBE-GGA) for a relaxed LiLa2AsN crystal.

Cell: 5.039 5.039 4.161 Å, 90.00 90.00 90.00°
Sites, in units of the cell vectors:
As1 0.500 0.500 0.500
N1 0.000 0.000 0.000
La1 0.500 0.000 0.000
La2 0.000 0.500 0.000
Li1 0.000 0.000 0.500

Computed properties:
ΔE_f (raw) = -1.13 eV per atom


Density functional theory data (PBE-GGA) for a relaxed NaLi2LaAs2 crystal.

Cell: 4.454 4.454 7.271 Å, 90.00 90.00 120.00°
Sites, in units of the cell vectors:
La1 0.000 0.000 0.000
As1 0.333 0.667 0.249
As2 0.667 0.333 0.751
Na1 0.000 0.000 0.500
Li1 0.667 0.333 0.342
Li2 0.333 0.667 0.658

Computed properties:
energy of formation = -0.9554 eV/atom


Density functional theory data (PBE-GGA) for a relaxed LiLa2Ni3As4 crystal.

Cell: 4.292 4.292 9.614 Å, 90.00 90.00 90.00°
Sites, in units of the cell vectors:
La1 0.500 0.000 0.249
La2 0.000 0.500 0.751
Ni1 0.000 0.500 0.112
Ni2 0.500 0.000 0.888
Ni3 0.000 0.000 0.500
As1 0.500 0.000 0.635
As2 0.000 0.500 0.365
As3 0.500 0.500 0.000
As4 0.000 0.000 0.000
Li1 0.500 0.500 0.500

Computed properties:
energy of formation = -0.9139 eV/atom


Density functional theory data (PBE-GGA) for a relaxed LiLaNiAs2 crystal.

Cell: 4.150 4.150 6.024 Å, 110.15 110.15 90.00°
Sites, in units of the cell vectors:
As1 0.370 0.370 0.741
As2 0.630 0.630 0.259
La1 0.000 0.000 0.000
Ni1 0.250 0.750 0.500
Li1 0.750 0.250 0.500

Computed properties:
energy of formation = -0.9059 eV/atom


Density functional theory data (PBE-GGA) for a relaxed LiLa2AsO5 crystal.

Cell: 6.006 6.910 6.910 Å, 90.00 90.00 90.00°
Sites, in units of the cell vectors:
As1 0.000 0.500 0.000
As2 0.000 0.000 0.500
O1 0.500 0.500 0.500
O2 0.245 0.639 0.861
O3 0.755 0.639 0.861
O4 0.755 0.861 0.361
O5 0.245 0.139 0.639
O6 0.245 0.861 0.361
O7 0.755 0.139 0.639
O8 0.500 0.000 0.000
O9 0.755 0.361 0.139
O10 0.245 0.361 0.139
La1 0.500 0.322 0.822
La2 0.500 0.178 0.322
La3 0.500 0.822 0.678
La4 0.500 0.678 0.178
Li1 0.000 0.500 0.500
Li2 0.000 0.000 0.000

Computed properties:
ΔE_f (raw) = -2.21 eV per atom


Density functional theory data (PBE-GGA) for a relaxed Li2La2As2O crystal.

Cell: 4.346 4.346 8.359 Å, 105.07 105.07 90.00°
Sites, in units of the cell vectors:
La1 0.152 0.152 0.304
La2 0.848 0.848 0.696
As1 0.637 0.637 0.275
As2 0.363 0.363 0.725
Li1 0.000 0.500 0.000
Li2 0.500 0.000 0.000
O1 0.000 0.000 0.000

Computed properties:
ΔE_f (raw) = -1.66 eV per atom


Density functional theory data (PBE-GGA) for a relaxed LiLa2AsO crystal.

Cell: 5.026 5.026 4.040 Å, 90.00 90.00 90.00°
Sites, in units of the cell vectors:
La1 0.000 0.500 0.000
La2 0.500 0.000 0.000
Li1 0.000 0.000 0.500
O1 0.000 0.000 0.000
As1 0.500 0.500 0.500

Computed properties:
ΔE_f (raw) = -1.70 eV per atom


Density functional theory data (PBE-GGA) for a relaxed LiLa2AsO6 crystal.

Cell: 5.544 5.503 7.796 Å, 90.00 90.35 90.00°
Sites, in units of the cell vectors:
O1 0.243 0.212 0.463
O2 0.431 0.990 0.734
O3 0.757 0.788 0.537
O4 0.931 0.510 0.234
O5 0.292 0.739 0.462
O6 0.257 0.712 0.037
O7 0.069 0.490 0.766
O8 0.569 0.010 0.266
O9 0.208 0.239 0.038
O10 0.743 0.288 0.963
O11 0.708 0.261 0.538
O12 0.792 0.761 0.962
La1 0.495 0.476 0.250
La2 0.505 0.524 0.750
La3 0.005 0.976 0.250
La4 0.995 0.024 0.750
As1 0.000 0.500 0.000
As2 0.500 0.000 0.500
Li1 0.000 0.500 0.500
Li2 0.500 0.000 0.000

Computed properties:
ΔE_f (raw) = -2.60 eV per atom


Number 1: size of the total moment 0.00 μB/f.u., calculated density 5.56 g cm⁻³. Number 2: size of the total moment 0.00 μB/f.u., calculated density 4.60 g cm⁻³. Number 3: size of the total moment 0.00 μB/f.u., calculated density 4.01 g cm⁻³. Number 4: size of the total moment 0.00 μB/f.u., calculated density 5.61 g cm⁻³. Number 5: size of the total moment 0.00 μB/f.u., calculated density 5.87 g cm⁻³. Number 6: size of the total moment 0.00 μB/f.u., calculated density 4.33 g cm⁻³. Number 7: size of the total moment 0.00 μB/f.u., calculated density 7.13 g cm⁻³. Number 8: size of the total moment 0.00 μB/f.u., calculated density 6.49 g cm⁻³. Number 9: size of the total moment 0.00 μB/f.u., calculated density 5.09 g cm⁻³. Number 10: size of the total moment 0.00 μB/f.u., calculated density 5.17 g cm⁻³. Number 11: size of the total moment 0.00 μB/f.u., calculated density 6.11 g cm⁻³. Number 12: size of the total moment 0.00 μB/f.u., calculated density 6.36 g cm⁻³.